Compound: K2BaMoF8
Source: Alexandria via LeMat-Bulk
Functional: PBE with a Hubbard U
Structure: relaxed

CIF file:
```
data_K2BaMoF8
_cell_length_a 4.494
_cell_length_b 6.113
_cell_length_c 8.122
_cell_angle_alpha 89.47
_cell_angle_beta 89.84
_cell_angle_gamma 84.25
_symmetry_space_group_name_H-M 'P -1'
_symmetry_Int_Tables_number 2
loop_
_symmetry_equiv_pos_as_xyz
'x,y,z'
'-x,-y,-z'
loop_
_atom_site_label
_atom_site_fract_x
_atom_site_fract_y
_atom_site_fract_z
K1 0.001 0.005 0.257
Ba1 0.500 0.500 0.000
Mo1 0.500 0.500 0.500
F1 0.013 0.257 0.995
F2 0.119 0.692 0.503
F3 0.401 0.303 0.687
F4 0.415 0.299 0.306
```

Calculated values
Uncorrected energy   -5.17 eV per atom